Computed, not measured: a geometry-optimized Cu4Ag5 structure at the PBE-GGA level of DFT.

Computed properties:
Calculated formation energy: 0.09 eV/atom
SG: C2/m (12)
Crystal system: monoclinic
Offset from the most stable computed form: 0.054 eV/atom

a b c (Å): 7.404 7.404 6.720
angles (deg): 92.19 92.19 22.06
Atoms (fractional coordinates):
Cu 0.048 0.048 0.343
Cu 0.400 0.400 0.354
Cu 0.600 0.600 0.646
Cu 0.952 0.952 0.657
Ag 0.164 0.164 0.973
Ag 0.288 0.288 0.664
Ag 0.500 0.500 0.000
Ag 0.712 0.712 0.336
Ag 0.836 0.836 0.027